! ErAl6Au12 | Alexandria | PBE-GGA | optimized geometry; values from VASP
&SYSTEM
  ibrav = 0, nat = 19, ntyp = 3
/
ATOMIC_SPECIES
Au 196.97 Au.upf
Al 26.98 Al.upf
Er 167.26 Er.upf
CELL_PARAMETERS angstrom
-6.7809 -3.2255 0.3036
4.6979 -5.1911 -2.7312
2.0898 1.2186 7.1151
ATOMIC_POSITIONS angstrom
Au -0.5114 -2.9683 -0.0116
Au -4.3615 -2.8516 3.4978
Au 1.6699 -1.8756 1.6633
Au -1.6631 -5.3224 3.0242
Au -0.9884 -1.1617 6.0879
Au -3.3698 -5.2889 -0.2464
Au 3.3765 -1.9091 4.9339
Au 4.3683 -4.3464 1.1897
Au 0.5181 -4.2296 4.6991
Au 1.1594 -5.8057 2.2780
Au 0.9951 -6.0363 -1.4004
Au -1.1527 -1.3923 2.4095
Al 1.9161 -4.1622 0.2203
Al -0.8467 -5.6474 0.4553
Al -2.7610 -3.3613 1.4568
Al -1.9093 -3.0358 4.4672
Al 0.8534 -1.5506 4.2322
Al 2.7678 -3.8366 3.2307
Er 0.0000 0.0000 0.0000
! Energy of formation: -6.383 eV/f.u.
! Space group: R-3m, No. 166